This record from the Alexandria database describes crystalline LiSm2Dy at its relaxed geometry. The functional is PBE.

For the relative energy among the computed polymorphs, the calculation gives 0.21 kcal/mol of atoms. Its density of states at the Fermi level is 0.83 states/eV per atom. The total energy is -46.945 eV/cell. As for the magnetic moment: 0.000 μB per formula unit.

The structure belongs to space group R3m (No. 160, hexagonal axes); the cell edges are 3.5401, 3.5401 and 34.0945 Å and the angles 90.00°, 90.00° and 120.00°. The inequivalent atoms are Li at (0.0000, 0.0000, 0.0000), Sm at (0.0000, 0.0000, 0.2513), Sm at (0.0000, 0.0000, 0.4154) and Dy at (0.0000, 0.0000, 0.8333).


This record from the Alexandria database describes crystalline ScGaTcNi at its relaxed geometry. The functional is PBE.

Its density of states at the Fermi level is 1.06 states/eV per atom. The total energy is -106.530 eV/cell. As for the magnetic moment: 0.000 μB per formula unit.

The structure belongs to space group F-43m (No. 216); the cell edges are 6.190, 6.190 and 6.190 Å and the angles 90.00°, 90.00° and 90.00°. The inequivalent atoms are Sc at (0.000, 0.000, 0.000), Ga at (0.000, 0.000, 0.500), Tc at (0.250, 0.250, 0.250) and Ni at (0.250, 0.250, 0.750).